Below is an optimized crystal structure of Sm3DyY6Th2, with properties calculated at the PBE-GGA level.

Cell lengths 6.2158, 6.2158, 11.8290 Å; angles 95.04, 95.04, 119.97 degrees
Fractional coordinates of all 12 atoms:
Y  0.9178  0.5806  0.7542
Y  0.0822  0.4194  0.2458
Y  0.2552  0.2552  0.7538
Y  0.5806  0.9178  0.7542
Y  0.4194  0.0822  0.2458
Y  0.7448  0.7448  0.2462
Th  0.3333  0.6667  0.0000
Th  0.6667  0.3333  0.0000
Sm  0.5000  0.5000  0.5000
Sm  0.8336  0.1664  0.5000
Sm  0.1664  0.8336  0.5000
Dy  0.0000  0.0000  0.0000

Output
**SG**: C2/m (12)
**Spin magnetization**: 0.000 μB per atom
**VASP energy**: -6.01 eV/atom
**Volume**: 32.48 Å³ per atom
**Mass density**: 6.86 g/cm³



Below is an optimized crystal structure of SmDy5YTh2, with properties calculated at the PBE-GGA level.

Cell lengths 8.7551, 8.7551, 9.9254 Å; angles 116.17, 116.17, 90.00 degrees
Fractional coordinates of all 18 atoms:
Dy  0.0694  0.5694  0.7213
Dy  0.3481  0.8481  0.2787
Dy  0.4306  0.3481  0.2787
Dy  0.0000  0.0000  0.0000
Dy  0.6519  0.1519  0.7213
Dy  0.8481  0.9306  0.2787
Dy  0.5694  0.6519  0.7213
Dy  0.9306  0.4306  0.2787
Dy  0.1519  0.0694  0.7213
Dy  0.5000  0.5000  0.0000
Sm  0.7500  0.2500  0.5000
Sm  0.2500  0.7500  0.5000
Th  0.6196  0.1196  0.0000
Th  0.3804  0.8804  0.0000
Th  0.1196  0.3804  0.0000
Th  0.8804  0.6196  0.0000
Y  0.2500  0.2500  0.5000
Y  0.7500  0.7500  0.5000

Output
**SG**: I4/mcm (140)
**Spin magnetization**: 0.000 μB per atom
**VASP energy**: -5.12 eV/atom
**Volume**: 33.04 Å³ per atom
**Mass density**: 8.47 g/cm³



Below is an optimized crystal structure of SmDy2Y6Th3, with properties calculated at the PBE-GGA level.

Cell lengths 6.2061, 6.2061, 11.7732 Å; angles 95.05, 95.05, 119.99 degrees
Fractional coordinates of all 12 atoms:
Dy  0.6667  0.3333  0.0000
Dy  0.3333  0.6667  0.0000
Y  0.4183  0.0848  0.2544
Y  0.0848  0.4183  0.2544
Y  0.9152  0.5817  0.7456
Y  0.5817  0.9152  0.7456
Y  0.7511  0.7511  0.2544
Y  0.2489  0.2489  0.7456
Th  0.1665  0.8335  0.5000
Th  0.8335  0.1665  0.5000
Th  0.5000  0.5000  0.5000
Sm  0.0000  0.0000  0.0000

Output
**SG**: C2/m (12)
**Spin magnetization**: 0.000 μB per atom
**VASP energy**: -6.22 eV/atom
**Volume**: 32.22 Å³ per atom
**Mass density**: 7.32 g/cm³



Below is an optimized crystal structure of Sm2DyY6Th, with properties calculated at the PBE-GGA level.

Cell lengths 9.7871, 8.7501, 8.7501 Å; angles 116.99, 94.96, 94.96 degrees
Fractional coordinates of all 20 atoms:
Th  0.2500  0.9792  0.0208
Th  0.7500  0.0208  0.9792
Y  0.0567  0.1164  0.7460
Y  0.3824  0.5075  0.2988
Y  0.9433  0.8836  0.2540
Y  0.4433  0.2540  0.8836
Y  0.8165  0.4243  0.9813
Y  0.5567  0.7460  0.1164
Y  0.1835  0.5757  0.0187
Y  0.3165  0.9813  0.4243
Y  0.6176  0.4925  0.7012
Y  0.1176  0.7012  0.4925
Y  0.6835  0.0187  0.5757
Y  0.8824  0.2988  0.5075
Sm  0.4519  0.8058  0.7108
Sm  0.5481  0.1942  0.2892
Sm  0.9519  0.7108  0.8058
Sm  0.0481  0.2892  0.1942
Dy  0.2500  0.4052  0.5948
Dy  0.7500  0.5948  0.4052

Output
**SG**: C2/c (15)
**Spin magnetization**: 0.000 μB per atom
**VASP energy**: -5.88 eV/atom
**Volume**: 32.93 Å³ per atom
**Mass density**: 6.20 g/cm³



Below is an optimized crystal structure of SmDy2Y6Th, with properties calculated at the PBE-GGA level.

Cell lengths 9.5073, 8.8082, 8.8082 Å; angles 116.38, 93.49, 93.49 degrees
Fractional coordinates of all 20 atoms:
Y  0.5586  0.7616  0.1154
Y  0.3874  0.5172  0.2937
Y  0.4414  0.2384  0.8846
Y  0.6825  0.0159  0.5714
Y  0.3175  0.9841  0.4286
Y  0.9414  0.8846  0.2384
Y  0.8874  0.2937  0.5172
Y  0.1825  0.5714  0.0159
Y  0.0586  0.1154  0.7616
Y  0.8175  0.4286  0.9841
Y  0.1126  0.7063  0.4828
Y  0.6126  0.4828  0.7063
Sm  0.2500  0.4089  0.5911
Sm  0.7500  0.5911  0.4089
Dy  0.0535  0.2956  0.1974
Dy  0.5535  0.1974  0.2956
Dy  0.9465  0.7044  0.8026
Dy  0.4465  0.8026  0.7044
Th  0.2500  0.9679  0.0321
Th  0.7500  0.0321  0.9679

Output
**SG**: C2/c (15)
**Spin magnetization**: 0.000 μB per atom
**VASP energy**: -5.86 eV/atom
**Volume**: 32.82 Å³ per atom
**Mass density**: 6.28 g/cm³



Below is an optimized crystal structure of SmDyYTh2, with properties calculated at the PBE-GGA level.

Cell lengths 6.6718, 6.6660, 8.5499 Å; angles 112.94, 90.00, 90.00 degrees
Fractional coordinates of all 10 atoms:
Dy  0.2500  0.2568  0.5136
Dy  0.7500  0.7432  0.4864
Y  0.7500  0.3473  0.6945
Y  0.2500  0.6527  0.3055
Th  0.0000  0.2515  0.0000
Th  0.5000  0.2515  0.0000
Th  0.5000  0.7485  0.0000
Th  0.0000  0.7485  0.0000
Sm  0.7500  0.1514  0.3027
Sm  0.2500  0.8486  0.6973

Output
**SG**: Cmcm (63)
**Spin magnetization**: 0.000 μB per atom
**VASP energy**: -5.70 eV/atom
**Volume**: 35.02 Å³ per atom
**Mass density**: 8.21 g/cm³



Number 1: DOS(E_F) 1.36 states/eV per atom. Number 2: DOS(E_F) 1.36 states/eV per atom. Number 3: DOS(E_F) 1.48 states/eV per atom. Number 4: DOS(E_F) 1.59 states/eV per atom. Number 5: DOS(E_F) 1.53 states/eV per atom. Number 6: DOS(E_F) 1.46 states/eV per atom.